Record 1
Computed, not measured: a relaxed Be2CdOs crystal at the PBE level of DFT.

Cell and atoms, written as POSCAR:
```
Be2CdOs
1.0
-1.820 0.972 -3.366
-1.014 -3.777 -0.542
-8.159 -0.166 2.047
Be Cd Os
4 2 2
Cartesian
-3.555 0.228 -2.125
-7.725 0.676 -1.417
-4.469 -1.443 -3.149
-7.042 -0.654 0.145
-1.417 -1.402 -1.954
-5.295 -2.673 -0.225
0.000 0.000 0.000
-5.698 -0.298 -1.637
```

Results
- formation energy from the elements (meV per atom) = 645
- total DFT energy (no corrections) (eV per atom) = -4.254



Record 2
Computed, not measured: a relaxed Ti2GePd6 crystal at the PBE level of DFT.

Cell and atoms, written as POSCAR:
```
Ti2GePd6
1.0
-1.196 3.819 0.546
-4.113 -1.911 4.356
6.947 -0.234 1.918
Ti Pd Ge
2 6 1
Cartesian
-1.239 1.196 3.894
2.877 0.477 2.926
-3.713 0.462 3.572
-1.716 -1.214 4.744
3.354 2.887 2.076
-1.596 1.446 1.330
1.217 1.894 4.339
0.421 -0.221 2.481
0.000 0.000 0.000
```

Results
- formation energy from the elements (meV per atom) = -346
- total DFT energy (no corrections) (eV per atom) = -6.076



Record 3
Computed, not measured: a relaxed LiCuNi2N crystal at the PBE level of DFT.

Cell and atoms, written as POSCAR:
```
LiCuNi2N
1.0
3.684 0.000 0.000
0.000 3.684 0.000
0.000 0.000 3.849
Ni Li N Cu
2 1 1 1
Cartesian
0.000 1.842 0.000
1.842 0.000 0.000
0.000 0.000 1.924
0.000 0.000 0.000
1.842 1.842 1.924
```

Results
- total DFT energy (no corrections) (eV per atom) = -5.287
- ΔE_f (raw) (eV per atom) = -0.108